# Li3ScAl, optimized geometry, DFT PBE-GGA
data_Li3ScAl
_chemical_formula_sum 'Li3 Sc1 Al1'
_space_group_name_H-M_alt 'P m -3 m'
_space_group_IT_number 221
_space_group_name_Hall '-P 4 2 3'
_cell_length_a 5.084
_cell_length_b 5.084
_cell_length_c 5.084
_cell_angle_alpha 90.00
_cell_angle_beta 90.00
_cell_angle_gamma 90.00
loop_
_atom_site_label
_atom_site_fract_x
_atom_site_fract_y
_atom_site_fract_z
Li1 0.000 0.000 0.500
Sc1 0.000 0.000 0.000
Al1 0.500 0.500 0.500
# ΔH_f (0 K), eV per atom: 1.072
# Calculated volume, Å³/cell: 131.4
# Final energy, eV for the cell shown: -10.454
# Energy above the most stable polymorph in this dataset, kJ per mole of atoms: 67.88

***

# Li2Tl3WS6, optimized geometry, DFT PBE-GGA
data_Li2Tl3WS6
_chemical_formula_sum 'Li4 Tl6 W2 S12'
_space_group_name_H-M_alt 'C 1 2/m 1'
_space_group_IT_number 12
_cell_length_a 6.658
_cell_length_b 11.547
_cell_length_c 7.157
_cell_angle_alpha 90.00
_cell_angle_beta 108.06
_cell_angle_gamma 90.00
loop_
_space_group_symop_operation_xyz
'x,y,z'
'-x,-y,-z'
'-x,y,-z'
'x,-y,z'
'x+1/2,y+1/2,z'
'-x+1/2,-y+1/2,-z'
'-x+1/2,y+1/2,-z'
'x+1/2,-y+1/2,z'
loop_
_atom_site_label
_atom_site_fract_x
_atom_site_fract_y
_atom_site_fract_z
Li1 0.000 0.164 0.000
Tl1 0.000 0.000 0.500
Tl2 0.000 0.335 0.500
W1 0.000 0.500 0.000
S1 0.216 0.351 0.198
S2 0.233 0.500 0.797
# Formation energy (no corrections), kcal/mol of atoms: -12.7
# Calculated volume, Å³/cell: 523.2
# Final energy, eV for the cell shown: -110.482

***

# Ce2SiRu2, optimized geometry, DFT PBE-GGA
data_Ce2SiRu2
_chemical_formula_sum 'Ce8 Si4 Ru8'
_space_group_name_H-M_alt 'C 1 2/c 1'
_space_group_IT_number 15
_cell_length_a 10.252
_cell_length_b 5.181
_cell_length_c 7.866
_cell_angle_alpha 90.00
_cell_angle_beta 106.30
_cell_angle_gamma 90.00
loop_
_space_group_symop_operation_xyz
'x,y,z'
'-x,-y,-z'
'-x,y,-z+1/2'
'x,-y,z+1/2'
'x+1/2,y+1/2,z'
'-x+1/2,-y+1/2,-z'
'-x+1/2,y+1/2,-z+1/2'
'x+1/2,-y+1/2,z+1/2'
loop_
_atom_site_label
_atom_site_fract_x
_atom_site_fract_y
_atom_site_fract_z
Ce1 0.148 0.147 0.140
Si1 0.000 0.390 0.750
Ru1 0.129 0.361 0.527
# Formation energy (no corrections), kcal/mol of atoms: -14.0
# Calculated volume, Å³/cell: 401.0
# Final energy, eV for the cell shown: -155.484

***

# CeY7Al4, optimized geometry, DFT PBE-GGA
data_CeY7Al4
_chemical_formula_sum 'Ce2 Y14 Al8'
_space_group_name_H-M_alt 'C 1 2/m 1'
_space_group_IT_number 12
_cell_length_a 13.948
_cell_length_b 5.446
_cell_length_c 10.458
_cell_angle_alpha 90.00
_cell_angle_beta 124.29
_cell_angle_gamma 90.00
loop_
_space_group_symop_operation_xyz
'x,y,z'
'-x,-y,-z'
'-x,y,-z'
'x,-y,z'
'x+1/2,y+1/2,z'
'-x+1/2,-y+1/2,-z'
'-x+1/2,y+1/2,-z'
'x+1/2,-y+1/2,z'
loop_
_atom_site_label
_atom_site_fract_x
_atom_site_fract_y
_atom_site_fract_z
Ce1 0.000 0.000 0.000
Y1 0.000 0.500 0.000
Y2 0.067 0.000 0.390
Y3 0.204 0.500 0.648
Y4 0.212 0.000 0.879
Al1 0.055 0.500 0.765
Al2 0.175 0.500 0.331
# ΔH_f (0 K), eV per atom: -0.076
# Calculated volume, Å³/cell: 656.4
# Final energy, eV for the cell shown: -134.129

***

# Ho3Co4Ge13, optimized geometry, DFT PBE-GGA
data_Ho3Co4Ge13
_chemical_formula_sum 'Ho6 Co8 Ge26'
_space_group_name_H-M_alt 'P m -3 n'
_space_group_IT_number 223
_space_group_name_Hall '-P 4n 2 3'
_cell_length_a 8.775
_cell_length_b 8.775
_cell_length_c 8.775
_cell_angle_alpha 90.00
_cell_angle_beta 90.00
_cell_angle_gamma 90.00
loop_
_atom_site_label
_atom_site_fract_x
_atom_site_fract_y
_atom_site_fract_z
Ho1 0.000 0.250 0.500
Co1 0.250 0.250 0.250
Ge1 0.000 0.000 0.000
Ge2 0.000 0.304 0.153
# ΔH_f (0 K), eV per atom: -0.415
# Calculated volume, Å³/cell: 675.6
# Final energy, eV for the cell shown: -220.949

***

# TlPtS3, optimized geometry, DFT PBE-GGA
data_TlPtS3
_chemical_formula_sum 'Tl1 Pt1 S3'
_space_group_name_H-M_alt 'P m -3 m'
_space_group_IT_number 221
_space_group_name_Hall '-P 4 2 3'
_cell_length_a 4.824
_cell_length_b 4.824
_cell_length_c 4.824
_cell_angle_alpha 90.00
_cell_angle_beta 90.00
_cell_angle_gamma 90.00
loop_
_atom_site_label
_atom_site_fract_x
_atom_site_fract_y
_atom_site_fract_z
Tl1 0.000 0.000 0.000
Pt1 0.500 0.500 0.500
S1 0.000 0.500 0.500
# Formation energy (no corrections), kcal/mol of atoms: 6.3
# Calculated volume, Å³/cell: 112.2
# Final energy, eV for the cell shown: -19.424
# Energy above the most stable polymorph in this dataset, kJ per mole of atoms: 0.00

***

# Li3Tb3PuSe8, optimized geometry, DFT PBE-GGA
data_Li3Tb3PuSe8
_chemical_formula_sum 'Li9 Tb9 Pu3 Se24'
_space_group_name_H-M_alt 'R -3 m'
_space_group_IT_number 166
_space_group_name_Hall '-R 3 2"'
_cell_length_a 8.2062
_cell_length_b 8.2062
_cell_length_c 19.4673
_cell_angle_alpha 90.00
_cell_angle_beta 90.00
_cell_angle_gamma 120.00
loop_
_atom_site_label
_atom_site_fract_x
_atom_site_fract_y
_atom_site_fract_z
Li1 0.0000 0.5000 0.0000
Tb1 0.0000 0.5000 0.5000
Pu1 0.0000 0.0000 0.5000
Se1 0.0000 0.0000 0.2513
Se2 0.0057 0.5028 0.2494
# Formation energy (no corrections), kcal/mol of atoms: -36.4
# Calculated volume, Å³/cell: 1135.3
# Final energy, eV for the cell shown: -256.596

***

# CaMg2AgRh, optimized geometry, DFT PBE-GGA
data_CaMg2AgRh
_chemical_formula_sum 'Ca1 Mg2 Ag1 Rh1'
_space_group_name_H-M_alt 'P 4/m m m'
_space_group_IT_number 123
_space_group_name_Hall '-P 4 2'
_cell_length_a 5.554
_cell_length_b 5.554
_cell_length_c 5.050
_cell_angle_alpha 90.00
_cell_angle_beta 90.00
_cell_angle_gamma 90.00
loop_
_atom_site_label
_atom_site_fract_x
_atom_site_fract_y
_atom_site_fract_z
Ca1 0.000 0.000 0.000
Mg1 0.000 0.500 0.000
Ag1 0.000 0.000 0.500
Rh1 0.500 0.500 0.500
# ΔH_f (0 K), eV per atom: 1.452
# Calculated volume, Å³/cell: 155.8
# Final energy, eV for the cell shown: -8.136

***

# MgTi2GaNi, optimized geometry, DFT PBE-GGA
data_MgTi2GaNi
_chemical_formula_sum 'Mg1 Ti2 Ga1 Ni1'
_space_group_name_H-M_alt 'P 4/m m m'
_space_group_IT_number 123
_space_group_name_Hall '-P 4 2'
_cell_length_a 4.740
_cell_length_b 4.740
_cell_length_c 4.270
_cell_angle_alpha 90.00
_cell_angle_beta 90.00
_cell_angle_gamma 90.00
loop_
_atom_site_label
_atom_site_fract_x
_atom_site_fract_y
_atom_site_fract_z
Mg1 0.000 0.000 0.000
Ti1 0.000 0.500 0.000
Ga1 0.500 0.500 0.500
Ni1 0.000 0.000 0.500
# ΔH_f (0 K), eV per atom: 1.040
# Calculated volume, Å³/cell: 95.9
# Final energy, eV for the cell shown: -20.990

***

# SmTm6Fe2, optimized geometry, DFT PBE-GGA
data_SmTm6Fe2
_chemical_formula_sum 'Sm4 Tm24 Fe8'
_space_group_name_H-M_alt 'I m m m'
_space_group_IT_number 71
_space_group_name_Hall '-I 2 2'
_cell_length_a 9.460
_cell_length_b 9.869
_cell_length_c 9.882
_cell_angle_alpha 90.00
_cell_angle_beta 90.00
_cell_angle_gamma 90.00
loop_
_atom_site_label
_atom_site_fract_x
_atom_site_fract_y
_atom_site_fract_z
Sm1 0.000 0.000 0.000
Sm2 0.000 0.500 0.000
Tm1 0.000 0.230 0.232
Tm2 0.203 0.195 0.500
Tm3 0.208 0.500 0.309
Fe1 0.000 0.000 0.388
Fe2 0.000 0.391 0.500
# ΔH_f (0 K), eV per atom: 0.040
# Calculated volume, Å³/cell: 922.7
# Final energy, eV for the cell shown: -192.471

***

# YHf3C, optimized geometry, DFT PBE-GGA
data_YHf3C
_chemical_formula_sum 'Y1 Hf3 C1'
_space_group_name_H-M_alt 'P m -3 m'
_space_group_IT_number 221
_space_group_name_Hall '-P 4 2 3'
_cell_length_a 4.659
_cell_length_b 4.659
_cell_length_c 4.659
_cell_angle_alpha 90.00
_cell_angle_beta 90.00
_cell_angle_gamma 90.00
loop_
_atom_site_label
_atom_site_fract_x
_atom_site_fract_y
_atom_site_fract_z
Y1 0.000 0.000 0.000
Hf1 0.000 0.500 0.500
C1 0.500 0.500 0.500
# ΔH_f (0 K), eV per atom: -0.138
# Calculated volume, Å³/cell: 101.1
# Final energy, eV for the cell shown: -46.240
# Energy above the most stable polymorph in this dataset, kJ per mole of atoms: 0.00

***

# PPdAu, optimized geometry, DFT PBE-GGA
data_PPdAu
_chemical_formula_sum 'P4 Pd4 Au4'
_space_group_name_H-M_alt 'P 1 21 1'
_space_group_IT_number 4
_cell_length_a 5.529
_cell_length_b 6.665
_cell_length_c 5.891
_cell_angle_alpha 90.00
_cell_angle_beta 104.58
_cell_angle_gamma 90.00
loop_
_space_group_symop_operation_xyz
'x,y,z'
'-x,y+1/2,-z'
loop_
_atom_site_label
_atom_site_fract_x
_atom_site_fract_y
_atom_site_fract_z
P1 0.011 0.000 0.376
P2 0.428 0.880 0.754
Pd1 0.170 0.174 0.735
Pd2 0.338 0.587 0.935
Au1 0.130 0.306 0.197
Au2 0.382 0.829 0.329
# ΔH_f (0 K), eV per atom: -0.101
# Calculated volume, Å³/cell: 210.1
# Final energy, eV for the cell shown: -56.731

***

# CePr2PuBi4, optimized geometry, DFT PBE-GGA
data_CePr2PuBi4
_chemical_formula_sum 'Ce1 Pr2 Pu1 Bi4'
_space_group_name_H-M_alt 'P 1 2/m 1'
_space_group_IT_number 10
_cell_length_a 7.971
_cell_length_b 4.607
_cell_length_c 7.987
_cell_angle_alpha 90.00
_cell_angle_beta 109.47
_cell_angle_gamma 90.00
loop_
_space_group_symop_operation_xyz
'x,y,z'
'-x,-y,-z'
'-x,y,-z'
'x,-y,z'
loop_
_atom_site_label
_atom_site_fract_x
_atom_site_fract_y
_atom_site_fract_z
Ce1 0.000 0.000 0.000
Pr1 0.000 0.500 0.500
Pr2 0.500 0.000 0.500
Pu1 0.500 0.500 0.000
Bi1 0.248 0.500 0.244
Bi2 0.253 0.000 0.757
# ΔH_f (0 K), eV per atom: -0.762
# Calculated volume, Å³/cell: 276.5
# Final energy, eV for the cell shown: -51.442

***

# CuAuBr, optimized geometry, DFT PBE-GGA
data_CuAuBr
_chemical_formula_sum 'Cu4 Au4 Br4'
_space_group_name_H-M_alt 'F m m 2'
_space_group_IT_number 42
_space_group_name_Hall 'F 2 -2'
_cell_length_a 3.375
_cell_length_b 6.025
_cell_length_c 12.256
_cell_angle_alpha 90.00
_cell_angle_beta 90.00
_cell_angle_gamma 90.00
loop_
_atom_site_label
_atom_site_fract_x
_atom_site_fract_y
_atom_site_fract_z
Cu1 0.000 0.000 0.000
Au1 0.000 0.000 0.346
Br1 0.000 0.000 0.644
# Formation energy (no corrections), kcal/mol of atoms: 4.6
# Calculated volume, Å³/cell: 249.2
# Final energy, eV for the cell shown: -33.804
# Energy above the most stable polymorph in this dataset, kJ per mole of atoms: 14.46

***

# Zr5B2Sb, optimized geometry, DFT PBE-GGA
data_Zr5B2Sb
_chemical_formula_sum 'Zr20 B8 Sb4'
_space_group_name_H-M_alt 'I 4/m c m'
_space_group_IT_number 140
_space_group_name_Hall '-I 4 2c'
_cell_length_a 6.738
_cell_length_b 6.738
_cell_length_c 12.908
_cell_angle_alpha 90.00
_cell_angle_beta 90.00
_cell_angle_gamma 90.00
loop_
_atom_site_label
_atom_site_fract_x
_atom_site_fract_y
_atom_site_fract_z
Zr1 0.000 0.000 0.000
Zr2 0.172 0.328 0.128
B1 0.104 0.396 0.500
Sb1 0.000 0.000 0.250
# Formation energy (no corrections), kcal/mol of atoms: -11.8
# Calculated volume, Å³/cell: 586.1
# Final energy, eV for the cell shown: -257.212

***

# Ba2SrOs2N6, optimized geometry, DFT PBE-GGA
data_Ba2SrOs2N6
_chemical_formula_sum 'Ba6 Sr3 Os6 N18'
_space_group_name_H-M_alt 'R -3 m'
_space_group_IT_number 166
_space_group_name_Hall '-R 3 2"'
_cell_length_a 6.2130
_cell_length_b 6.2130
_cell_length_c 19.5506
_cell_angle_alpha 90.00
_cell_angle_beta 90.00
_cell_angle_gamma 120.00
loop_
_atom_site_label
_atom_site_fract_x
_atom_site_fract_y
_atom_site_fract_z
Ba1 0.0000 0.0000 0.2119
Sr1 0.0000 0.0000 0.0000
Os1 0.0000 0.0000 0.4081
N1 0.0113 0.5056 0.2413
# Formation energy (no corrections), kcal/mol of atoms: -8.7
# Calculated volume, Å³/cell: 653.6
# Final energy, eV for the cell shown: -246.229

***

# PmZr, optimized geometry, DFT PBE-GGA
data_PmZr
_chemical_formula_sum 'Pm1 Zr1'
_space_group_name_H-M_alt 'P -6 m 2'
_space_group_IT_number 187
_space_group_name_Hall 'P -6 2'
_cell_length_a 3.3991
_cell_length_b 3.3991
_cell_length_c 5.5655
_cell_angle_alpha 90.00
_cell_angle_beta 90.00
_cell_angle_gamma 120.00
loop_
_atom_site_label
_atom_site_fract_x
_atom_site_fract_y
_atom_site_fract_z
Pm1 0.0000 0.0000 0.0000
Zr1 0.6667 0.3333 0.5000
# ΔH_f (0 K), eV per atom: 0.188
# Calculated volume, Å³/cell: 55.7
# Final energy, eV for the cell shown: -12.922
# Energy above the most stable polymorph in this dataset, kJ per mole of atoms: 2.70

***

# PaMnNi3, optimized geometry, DFT PBE-GGA
data_PaMnNi3
_chemical_formula_sum 'Pa2 Mn2 Ni6'
_space_group_name_H-M_alt 'P 63/m m c'
_space_group_IT_number 194
_space_group_name_Hall '-P 6c 2c'
_cell_length_a 5.8887
_cell_length_b 5.8887
_cell_length_c 5.0324
_cell_angle_alpha 90.00
_cell_angle_beta 90.00
_cell_angle_gamma 120.00
loop_
_atom_site_label
_atom_site_fract_x
_atom_site_fract_y
_atom_site_fract_z
Pa1 0.3333 0.6667 0.2500
Mn1 0.0000 0.0000 0.0000
Ni1 0.1991 0.3981 0.7500
# ΔH_f (0 K), eV per atom: -0.120
# Calculated volume, Å³/cell: 151.2
# Final energy, eV for the cell shown: -73.218

***

# DyEr4Pd5, optimized geometry, DFT PBE-GGA
data_DyEr4Pd5
_chemical_formula_sum 'Dy1 Er4 Pd5'
_space_group_name_H-M_alt 'P 4/m m m'
_space_group_IT_number 123
_space_group_name_Hall '-P 4 2'
_cell_length_a 3.455
_cell_length_b 3.455
_cell_length_c 17.720
_cell_angle_alpha 90.00
_cell_angle_beta 90.00
_cell_angle_gamma 90.00
loop_
_atom_site_label
_atom_site_fract_x
_atom_site_fract_y
_atom_site_fract_z
Dy1 0.000 0.000 0.000
Er1 0.000 0.000 0.201
Er2 0.000 0.000 0.400
Pd1 0.500 0.500 0.103
Pd2 0.500 0.500 0.301
Pd3 0.500 0.500 0.500
# ΔH_f (0 K), eV per atom: -0.907
# Calculated volume, Å³/cell: 211.5
# Final energy, eV for the cell shown: -57.891

***

# Ti3TlGa, optimized geometry, DFT PBE-GGA
data_Ti3TlGa
_chemical_formula_sum 'Ti3 Tl1 Ga1'
_space_group_name_H-M_alt 'P m -3 m'
_space_group_IT_number 221
_space_group_name_Hall '-P 4 2 3'
_cell_length_a 4.735
_cell_length_b 4.735
_cell_length_c 4.735
_cell_angle_alpha 90.00
_cell_angle_beta 90.00
_cell_angle_gamma 90.00
loop_
_atom_site_label
_atom_site_fract_x
_atom_site_fract_y
_atom_site_fract_z
Ti1 0.000 0.000 0.500
Tl1 0.500 0.500 0.500
Ga1 0.000 0.000 0.000
# ΔH_f (0 K), eV per atom: 0.395
# Calculated volume, Å³/cell: 106.2
# Final energy, eV for the cell shown: -27.101
# Energy above the most stable polymorph in this dataset, kJ per mole of atoms: 48.52